VASP calculation (PBE-GGA) on a relaxed structure of TbPm3Cl.

Results
The total energy is -4.638 eV per atom. The total magnetization comes out at 0.0 μB per cell. As for the density of states at the Fermi level: 0.89 states/eV per atom.

```
TbPm3Cl
1.0
-4.309 2.812 -1.725
-3.298 -3.622 2.335
0.059 2.903 4.585
Pm Cl Tb
3 1 1
direct
0.000 0.500 0.000
0.000 0.000 0.500
0.500 0.000 0.000
0.000 0.000 0.000
0.500 0.500 0.500
```